No. 1
## MgFe (PBEsol)

Data for a geometry-optimized MgFe structure.

Properties
final energy	-5.08	eV per atom
E_form	0.259	eV/atom
V	15.13	A^3/atom

Unit cell a=2.967 b=4.542 c=5.247 alpha=115.65 beta=106.42 gamma=90.00
Element x y z (fractional)
Fe 0.346 0.596 0.691
Mg 0.108 0.858 0.217
Fe 0.654 0.404 0.309
Mg 0.892 0.142 0.783


No. 2
## In3Te (PBEsol)

Data for a geometry-optimized In3Te structure.

Properties
final energy	-3.23	eV per atom
V	27.49	A^3/atom
E_form (uncorrected)	-42	kJ/mol of formula units

Unit cell a=6.521 b=8.234 c=8.192 alpha=90.00 beta=90.00 gamma=90.00
Element x y z (fractional)
Te 0.882 0.494 0.750
Te 0.382 0.006 0.250
In 0.313 0.749 0.516
In 0.813 0.751 0.484
Te 0.118 0.506 0.250
In 0.187 0.249 0.516
In 0.687 0.251 0.016
In 0.313 0.749 0.984
In 0.813 0.751 0.016
In 0.916 0.023 0.250
In 0.187 0.249 0.984
In 0.584 0.523 0.250
In 0.084 0.977 0.750
In 0.416 0.477 0.750
Te 0.618 0.994 0.750
In 0.687 0.251 0.484


No. 3
## KTa3Te2O12 (PBEsol)

Data for a geometry-optimized KTa3Te2O12 structure.

Properties
final energy	-8.27	eV per atom
V	14.28	A^3/atom
E_form (uncorrected)	-3857	kJ/mol of formula units

Unit cell a=3.919 b=15.042 c=17.439 alpha=90.00 beta=90.00 gamma=90.00
Element x y z (fractional)
O 0.710 0.250 0.500
Te 0.370 0.414 0.596
O 0.286 0.896 0.828
O 0.223 0.356 0.065
O 0.724 0.065 0.023
K 0.780 0.931 0.250
Ta 0.259 0.795 0.750
O 0.276 0.565 0.023
O 0.706 0.032 0.631
K 0.220 0.431 0.250
Te 0.630 0.586 0.404
O 0.223 0.144 0.565
O 0.286 0.707 0.832
O 0.220 0.196 0.250
O 0.714 0.207 0.668
O 0.724 0.065 0.477
O 0.294 0.968 0.369
Ta 0.741 0.295 0.750
O 0.710 0.250 0.000
O 0.724 0.435 0.523
Ta 0.259 0.705 0.250
O 0.706 0.468 0.131
O 0.290 0.750 0.000
O 0.780 0.696 0.250
O 0.294 0.968 0.131
Ta 0.256 0.650 0.930
O 0.286 0.793 0.168
O 0.223 0.356 0.435
O 0.714 0.104 0.328
Ta 0.744 0.350 0.070
K 0.220 0.069 0.750
O 0.286 0.793 0.332
O 0.777 0.856 0.065
O 0.276 0.565 0.477
O 0.780 0.804 0.750
Ta 0.256 0.850 0.070
O 0.220 0.304 0.750
O 0.706 0.468 0.369
Ta 0.256 0.850 0.430
O 0.714 0.104 0.172
K 0.780 0.569 0.750
O 0.276 0.935 0.523
Te 0.630 0.914 0.904
Te 0.630 0.914 0.596
O 0.714 0.207 0.832
O 0.714 0.293 0.332
O 0.286 0.896 0.672
O 0.706 0.032 0.869
O 0.777 0.644 0.935
Te 0.370 0.086 0.096
O 0.286 0.604 0.172
O 0.276 0.935 0.977
Ta 0.744 0.150 0.930
O 0.294 0.532 0.869
O 0.223 0.144 0.935
O 0.724 0.435 0.977
Ta 0.256 0.650 0.570
O 0.286 0.604 0.328
Te 0.370 0.086 0.404
Te 0.370 0.414 0.904
Ta 0.741 0.205 0.250
O 0.286 0.707 0.668
O 0.290 0.750 0.500
Te 0.630 0.586 0.096
O 0.714 0.396 0.672
Ta 0.744 0.350 0.430
O 0.777 0.856 0.435
O 0.714 0.396 0.828
Ta 0.744 0.150 0.570
O 0.294 0.532 0.631
O 0.714 0.293 0.168
O 0.777 0.644 0.565


No. 4
## TaIn2Pb (PBEsol)

Data for a geometry-optimized TaIn2Pb structure.

Properties
final energy	-5.36	eV per atom
E_form	0.273	eV/atom
V	22.87	A^3/atom

Unit cell a=3.145 b=3.145 c=10.832 alpha=81.65 beta=81.65 gamma=60.00
Element x y z (fractional)
Ta 0.000 0.000 0.000
In 0.259 0.259 0.223
In 0.741 0.741 0.777
Pb 0.500 0.500 0.500


No. 5
## MnIrI2F (PBEsol)

Data for a geometry-optimized MnIrI2F structure.

Properties
final energy	-4.81	eV per atom
V	20.31	A^3/atom
E_form (uncorrected)	96	kJ/mol of formula units

Unit cell a=3.680 b=5.253 c=5.253 alpha=90.00 beta=90.00 gamma=90.00
Element x y z (fractional)
Ir 0.500 0.500 0.500
I 0.000 0.000 0.500
F 0.500 0.000 0.000
Mn 0.000 0.000 0.000
I 0.000 0.500 0.000


No. 6
## ScPAuCl2 (PBEsol)

Data for a geometry-optimized ScPAuCl2 structure.

Properties
final energy	-4.00	eV per atom
V	22.71	A^3/atom
E_form (uncorrected)	31	kJ/mol of formula units

Unit cell a=4.766 b=4.766 c=4.999 alpha=90.00 beta=90.00 gamma=90.00
Element x y z (fractional)
Cl 0.000 0.500 0.000
Au 0.000 0.000 0.000
Cl 0.500 0.000 0.000
Sc 0.500 0.500 0.500
P 0.000 0.000 0.500